# KNdAsO4 (PBE, optimized geometry)
data_KNdAsO4
_chemical_formula_sum 'K4 Nd4 As4 O16'
_space_group_name_H-M_alt 'I m m a'
_space_group_IT_number 74
_space_group_name_Hall '-I 2b 2'
_cell_length_a 6.474
_cell_length_b 7.098
_cell_length_c 9.604
_cell_angle_alpha 90.00
_cell_angle_beta 90.00
_cell_angle_gamma 90.00
loop_
_atom_site_label
_atom_site_type_symbol
_atom_site_fract_x
_atom_site_fract_y
_atom_site_fract_z
K1 K 0.250 0.250 0.250
Nd1 Nd 0.000 0.000 0.000
As1 As 0.000 0.250 0.641
O1 O 0.000 0.047 0.747
O2 O 0.232 0.250 0.529
# - Density of states at the Fermi level: 1.11 states/eV/f.u.
# - Formation energy from raw total energies: -1.854 eV per atom
# - Mass density: 4.850 g/cm³
# - V: 15.76 Å³/atom

# TlCu2Au2 (PBE, optimized geometry)
data_TlCu2Au2
_chemical_formula_sum 'Tl2 Cu4 Au4'
_space_group_name_H-M_alt 'I 4/m m m'
_space_group_IT_number 139
_space_group_name_Hall '-I 4 2'
_cell_length_a 3.941
_cell_length_b 3.941
_cell_length_c 12.164
_cell_angle_alpha 90.00
_cell_angle_beta 90.00
_cell_angle_gamma 90.00
loop_
_atom_site_label
_atom_site_type_symbol
_atom_site_fract_x
_atom_site_fract_y
_atom_site_fract_z
Tl1 Tl 0.000 0.000 0.000
Cu1 Cu 0.000 0.000 0.400
Au1 Au 0.000 0.500 0.250
# - Density of states at the Fermi level: 1.34 states/eV/f.u.
# - Energy: -0.1210 hartree per atom
# - Mass density: 12.750 g/cm³
# - V: 18.89 Å³/atom

# Y2TlRe2 (PBE, optimized geometry)
data_Y2TlRe2
_chemical_formula_sum 'Y4 Tl2 Re4'
_space_group_name_H-M_alt 'I 4/m m m'
_space_group_IT_number 139
_space_group_name_Hall '-I 4 2'
_cell_length_a 3.592
_cell_length_b 3.592
_cell_length_c 18.758
_cell_angle_alpha 90.00
_cell_angle_beta 90.00
_cell_angle_gamma 90.00
loop_
_atom_site_label
_atom_site_type_symbol
_atom_site_fract_x
_atom_site_fract_y
_atom_site_fract_z
Y1 Y 0.000 0.000 0.115
Tl1 Tl 0.000 0.000 0.500
Re1 Re 0.000 0.500 0.250
# - Density of states at the Fermi level: 2.33 states/eV/f.u.
# - Energy: -0.2921 hartree per atom
# - Mass density: 10.356 g/cm³
# - V: 24.20 Å³/atom

# Nd2TmLu (PBE, optimized geometry)
data_Nd2TmLu
_chemical_formula_sum 'Nd2 Tm1 Lu1'
_space_group_name_H-M_alt 'P 4/m m m'
_space_group_IT_number 123
_space_group_name_Hall '-P 4 2'
_cell_length_a 3.609
_cell_length_b 3.609
_cell_length_c 9.929
_cell_angle_alpha 90.00
_cell_angle_beta 90.00
_cell_angle_gamma 90.00
loop_
_atom_site_label
_atom_site_type_symbol
_atom_site_fract_x
_atom_site_fract_y
_atom_site_fract_z
Nd1 Nd 0.000 0.000 0.249
Tm1 Tm 0.500 0.500 0.500
Lu1 Lu 0.500 0.500 0.000
# - Density of states at the Fermi level: 5.95 states/eV/f.u.
# - Energy: -0.1693 hartree per atom
# - Mass density: 8.120 g/cm³
# - V: 32.33 Å³/atom